# 1
A relaxed ZrHg2 crystal. Source: the Alexandria database, functional PBE-GGA.

Results
uncorrected energy = -9.0 eV/f.u.
ΔE_f = 58 meV/atom
DOS at the Fermi energy = 0.6715 states/eV/atom

Structure (POSCAR):
```
ZrHg2
1.0
-1.638 2.255 4.503
1.638 -2.255 4.503
1.638 2.255 -4.503
Zr Hg
1 2
Direct
0.000 0.000 0.000
0.336 0.336 0.000
0.664 0.664 0.000
```

***

# 2
A relaxed SbW2Cl crystal. Source: the Alexandria database, functional PBE-GGA.

Results
energy relative to the elements, uncorrected = 16.3 kcal/mol of atoms
uncorrected energy = -29.0 eV/f.u.
polymorph energy (0 for the lowest one) = 661 meV/atom
DOS at the Fermi energy = 0.6530 states/eV/atom

Structure (POSCAR):
```
SbW2Cl
1.0
-1.670 2.289 6.014
1.670 -2.289 6.014
1.670 2.289 -6.014
Sb W Cl
1 2 1
Direct
0.000 0.000 0.000
0.364 0.864 0.500
0.513 0.513 0.000
0.727 0.227 0.500
```

***

Q: Number 2 is which compound?
A: SbW2Cl

***

Repeat the first record exactly.
A relaxed ZrHg2 crystal. Source: the Alexandria database, functional PBE-GGA.

Results
uncorrected energy = -9.0 eV/f.u.
ΔE_f = 58 meV/atom
DOS at the Fermi energy = 0.6715 states/eV/atom

Structure (POSCAR):
```
ZrHg2
1.0
-1.638 2.255 4.503
1.638 -2.255 4.503
1.638 2.255 -4.503
Zr Hg
1 2
Direct
0.000 0.000 0.000
0.336 0.336 0.000
0.664 0.664 0.000
```